[1]
DFT (PBE) results for an optimized crystal structure of Mg5Cd4.

Cell lengths 7.0615, 7.0615, 7.0615 Å; angles 95.53, 95.53, 143.83 degrees
With the nearest neighbours (Å) after each atom.
Atoms (fractional coordinates):
Mg 0.0000 0.0000 0.0000  4 Cd 3.12, 8 Mg 3.15
Mg 0.3319 0.3319 0.6637  6 Mg 3.10-3.19, 6 Cd 3.11-3.15
Mg 0.3319 0.6681 0.0000  6 Mg 3.10-3.19, 6 Cd 3.11-3.15
Mg 0.6681 0.3319 0.0000  6 Mg 3.10-3.19, 6 Cd 3.11-3.15
Mg 0.6681 0.6681 0.3363  6 Mg 3.10-3.19, 6 Cd 3.11-3.15
Cd 0.0000 0.3289 0.3289  7 Mg 3.11-3.15, 5 Cd 3.18-3.25
Cd 0.0000 0.6711 0.6711  7 Mg 3.11-3.15, 5 Cd 3.18-3.25
Cd 0.3289 0.0000 0.3289  7 Mg 3.11-3.15, 5 Cd 3.18-3.25
Cd 0.6711 0.0000 0.6711  7 Mg 3.11-3.15, 5 Cd 3.18-3.25

- Relative energy among the computed polymorphs: 0.00 eV/f.u.
- M_tot: 0.0000 μB per atom
- Energy relative to the elements: -0.08 eV/atom

---

[2]
DFT (PBE) results for an optimized crystal structure of Mg3Cd8.

Cell lengths 6.6968, 6.6968, 6.6968 Å; angles 97.73, 97.73, 97.73 degrees
With the nearest neighbours (Å) after each atom.
Atoms (fractional coordinates):
Mg 0.0000 0.5000 0.5000  4 Cd 2.90-2.92
Mg 0.5000 0.0000 0.5000  4 Cd 2.90-2.92
Mg 0.5000 0.5000 0.0000  4 Cd 2.90-2.92
Cd 0.0588 0.6845 0.9252  4 Cd 2.84-3.10, 1 Mg 2.90
Cd 0.0748 0.9412 0.3155  4 Cd 2.84-3.10, 1 Mg 2.90
Cd 0.3155 0.0748 0.9412  4 Cd 2.84-3.10, 1 Mg 2.90
Cd 0.3569 0.3569 0.3569  4 Cd 2.84-3.10, 3 Mg 2.92
Cd 0.6431 0.6431 0.6431  4 Cd 2.84-3.10, 3 Mg 2.92
Cd 0.6845 0.9252 0.0588  4 Cd 2.84-3.10, 1 Mg 2.90
Cd 0.9252 0.0588 0.6845  4 Cd 2.84-3.10, 1 Mg 2.90
Cd 0.9412 0.3155 0.0748  4 Cd 2.84-3.10, 1 Mg 2.90

- Relative energy among the computed polymorphs: 2.09 eV/f.u.
- M_tot: 0.0000 μB per atom
- Energy relative to the elements: 0.14 eV/atom